No. 1
Computed, not measured: crystalline Al2AsRh at its relaxed geometry at the GGA-PBE level of DFT.

Summary:
Space-group type: Imm2
E_form: -252 meV/atom

a = 4.940 Å, b = 4.940 Å, c = 4.940 Å
α = 137.59°, β = 128.11°, γ = 69.18°
Fractional coordinates of all 4 atoms:
Al (0.007, 0.007, 0.000)
Al (0.749, 0.249, 0.500)
Rh (0.241, 0.741, 0.500)
As (0.503, 0.503, 0.000)


No. 2
Computed, not measured: crystalline Al2AsRh at its relaxed geometry at the GGA-PBE level of DFT.

Summary:
Space-group type: R3m
E_form: -256 meV/atom

a = 8.097 Å, b = 8.097 Å, c = 8.097 Å
α = 21.97°, β = 21.97°, γ = 21.97°
Fractional coordinates of all 4 atoms:
Al (0.994, 0.994, 0.994)
Al (0.752, 0.752, 0.752)
Rh (0.249, 0.249, 0.249)
As (0.505, 0.505, 0.505)


No. 3
Computed, not measured: crystalline AlAsRh2 at its relaxed geometry at the GGA-PBE level of DFT.

Summary:
E above lowest polymorph: 0.530 eV/atom
Space-group type: I-42d
E_form: -72 meV/atom

a = 5.510 Å, b = 5.510 Å, c = 6.717 Å
α = 65.78°, β = 65.78°, γ = 90.00°
Fractional coordinates of all 8 atoms:
Al (0.500, 0.500, 0.000)
Al (0.250, 0.750, 0.500)
As (0.000, 0.000, 0.000)
As (0.750, 0.250, 0.500)
Rh (0.633, 0.125, 0.250)
Rh (0.375, 0.367, 0.750)
Rh (0.875, 0.883, 0.750)
Rh (0.117, 0.625, 0.250)


No. 4
Computed, not measured: crystalline Al2AsRh at its relaxed geometry at the GGA-PBE level of DFT.

Summary:
Space-group type: P4mm
E_form: -284 meV/atom

a = 2.941 Å, b = 2.941 Å, c = 7.379 Å
α = 90.00°, β = 90.00°, γ = 90.00°
Fractional coordinates of all 4 atoms:
Rh (0.500, 0.500, 0.757)
Al (0.000, 0.000, 0.973)
Al (0.500, 0.500, 0.238)
As (0.000, 0.000, 0.531)


No. 5
Computed, not measured: crystalline AlAsRh2 at its relaxed geometry at the GGA-PBE level of DFT.

Summary:
E above lowest polymorph: 0.112 eV/atom
Space-group type: R-3m
E_form: -490 meV/atom

a = 8.094 Å, b = 8.094 Å, c = 8.094 Å
α = 20.89°, β = 20.89°, γ = 20.89°
Fractional coordinates of all 4 atoms:
Al (0.250, 0.250, 0.250)
Rh (0.500, 0.500, 0.500)
Rh (0.000, 0.000, 0.000)
As (0.750, 0.750, 0.750)


No. 6
Computed, not measured: crystalline AlAsRh2 at its relaxed geometry at the GGA-PBE level of DFT.

Summary:
E above lowest polymorph: 0.000 eV/atom
Space-group type: Cm
E_form: -602 meV/atom

a = 4.757 Å, b = 4.757 Å, c = 4.331 Å
α = 76.89°, β = 76.89°, γ = 37.65°
Fractional coordinates of all 4 atoms:
Al (0.497, 0.497, 0.568)
Rh (0.762, 0.762, 0.670)
Rh (0.988, 0.988, 0.072)
As (0.253, 0.253, 0.191)


No. 7
Computed, not measured: crystalline Al2AsRh at its relaxed geometry at the GGA-PBE level of DFT.

Summary:
Space-group type: Cmmm
E_form: -324 meV/atom

a = 4.651 Å, b = 4.651 Å, c = 2.968 Å
α = 90.00°, β = 90.00°, γ = 108.26°
Fractional coordinates of all 4 atoms:
Al (0.500, 0.500, 0.000)
Al (0.000, 0.000, 0.000)
As (0.500, 0.000, 0.500)
Rh (0.000, 0.500, 0.500)


No. 8
Computed, not measured: crystalline Al2AsRh2 at its relaxed geometry at the GGA-PBE level of DFT.

Summary:
E above lowest polymorph: 0.082 eV/atom
Space-group type: P4/mbm
E_form: -528 meV/atom

a = 7.294 Å, b = 7.294 Å, c = 2.885 Å
α = 90.00°, β = 90.00°, γ = 90.00°
Fractional coordinates of all 10 atoms:
Rh (0.345, 0.155, 0.500)
Rh (0.655, 0.845, 0.500)
Rh (0.155, 0.655, 0.500)
Rh (0.845, 0.345, 0.500)
Al (0.637, 0.137, 0.000)
Al (0.363, 0.863, 0.000)
Al (0.137, 0.363, 0.000)
Al (0.863, 0.637, 0.000)
As (0.500, 0.500, 0.000)
As (0.000, 0.000, 0.000)


No. 9
Computed, not measured: crystalline AlAsRh2 at its relaxed geometry at the GGA-PBE level of DFT.

Summary:
E above lowest polymorph: 0.109 eV/atom
Space-group type: C2/m
E_form: -493 meV/atom

a = 4.288 Å, b = 4.288 Å, c = 5.012 Å
α = 78.94°, β = 78.94°, γ = 40.91°
Fractional coordinates of all 4 atoms:
Rh (0.004, 0.004, 0.002)
Rh (0.496, 0.496, 0.498)
Al (0.750, 0.750, 0.750)
As (0.250, 0.250, 0.250)


No. 10
Computed, not measured: crystalline Al4AsRh at its relaxed geometry at the GGA-PBE level of DFT.

Summary:
Space-group type: F-43m
E_form: 129 meV/atom

a = 5.179 Å, b = 5.179 Å, c = 5.179 Å
α = 60.00°, β = 60.00°, γ = 60.00°
Fractional coordinates of all 6 atoms:
As (0.750, 0.750, 0.750)
Al (0.875, 0.375, 0.375)
Al (0.375, 0.375, 0.375)
Al (0.375, 0.875, 0.375)
Al (0.375, 0.375, 0.875)
Rh (0.000, 0.000, 0.000)


No. 11
Computed, not measured: crystalline Al2AsRh at its relaxed geometry at the GGA-PBE level of DFT.

Summary:
Space-group type: Pmm2
E_form: -354 meV/atom

a = 3.370 Å, b = 3.496 Å, c = 5.463 Å
α = 90.00°, β = 90.00°, γ = 90.00°
Fractional coordinates of all 4 atoms:
Al (0.000, 0.000, 0.961)
Al (0.500, 0.500, 0.263)
As (0.000, 0.000, 0.467)
Rh (0.500, 0.500, 0.810)


No. 12
Computed, not measured: crystalline AlAsRh2 at its relaxed geometry at the GGA-PBE level of DFT.

Summary:
E above lowest polymorph: 0.072 eV/atom
Space-group type: Cmmm
E_form: -530 meV/atom

a = 4.382 Å, b = 4.382 Å, c = 3.031 Å
α = 89.97°, β = 89.97°, γ = 95.58°
Fractional coordinates of all 4 atoms:
Al (0.500, 0.000, 0.500)
Rh (0.500, 0.500, 0.000)
Rh (0.000, 0.000, 0.000)
As (0.000, 0.500, 0.500)


Number 1 is which compound?
Al2AsRh


What is the formula in the eleventh record?
Al2AsRh